This record from the Alexandria database describes an optimized crystal structure of VBi2As2. The functional is PBE.

CIF file:
```
data_VBi2As2
_chemical_formula_sum 'V2 Bi4 As4'
_cell_length_a 6.534
_cell_length_b 6.534
_cell_length_c 5.925
_cell_angle_alpha 90.00
_cell_angle_beta 90.00
_cell_angle_gamma 90.00
_space_group_name_H-M_alt 'P 4/m b m'
_space_group_IT_number 127
_space_group_name_Hall '-P 4 2ab'
loop_
_atom_site_label
_atom_site_type_symbol
_atom_site_fract_x
_atom_site_fract_y
_atom_site_fract_z
_atom_site_occupancy
V1 V 0.000 0.000 0.000 1
Bi1 Bi 0.206 0.294 0.500 1
As1 As 0.135 0.365 0.000 1
```

## Properties
DOS(E_F) = 4.417 states/eV/cell
electronic total energy = -51.48 eV/cell